Model w:
The following is a PBE-GGA calculation of a geometry-optimized NaH2I structure, from Alexandria via LeMat-Bulk.

Structure (POSCAR):
```
NaH2I
1.0
4.244 -1.245 0.000
-4.606 11.363 0.000
0.000 0.000 4.532
Na H I
2 4 2
direct
0.996 0.852 0.250
0.004 0.148 0.750
0.491 0.580 0.333
0.509 0.420 0.667
0.491 0.580 0.167
0.509 0.420 0.833
0.435 0.817 0.750
0.565 0.183 0.250
```

Symmetry: P2_1/m

Model x:
The following is a PBE-GGA calculation of a geometry-optimized NaH2I structure, from Alexandria via LeMat-Bulk.

Structure (POSCAR):
```
NaH2I
1.0
5.701 0.000 0.000
0.000 5.701 0.000
2.850 2.850 4.727
I Na H
2 2 4
direct
0.000 0.000 0.000
0.750 0.250 0.500
0.500 0.500 0.000
0.250 0.750 0.500
0.603 0.125 0.250
0.147 0.625 0.250
0.375 0.397 0.750
0.875 0.853 0.750
```

Symmetry: I-42d

Model y:
The following is a PBE-GGA calculation of a geometry-optimized NaH2I structure, from Alexandria via LeMat-Bulk.

Structure (POSCAR):
```
NaH2I
1.0
0.000 3.142 3.142
3.142 0.000 3.142
3.142 3.142 0.000
I Na H
1 1 2
direct
0.500 0.500 0.500
0.000 0.000 0.000
0.250 0.250 0.250
0.750 0.750 0.750
```

Symmetry: Fm-3m

Top of the stability list: model w, leading by 1023 meV/atom.

Model w:
The following is a PBE-GGA calculation of a geometry-optimized Na2H2I structure, from Alexandria via LeMat-Bulk.

Structure (POSCAR):
```
Na2H2I
1.0
5.094 0.468 0.782
0.854 7.679 1.175
-1.606 -1.278 6.511
Na H I
4 4 2
direct
0.823 0.109 0.255
0.323 0.609 0.255
0.177 0.891 0.745
0.677 0.391 0.745
0.940 0.478 0.482
0.440 0.978 0.482
0.060 0.522 0.518
0.560 0.022 0.518
0.750 0.750 0.000
0.250 0.250 0.000
```

Symmetry: P-1

Model x:
The following is a PBE-GGA calculation of a geometry-optimized Na2H2I structure, from Alexandria via LeMat-Bulk.

Structure (POSCAR):
```
Na2H2I
1.0
3.818 0.000 0.000
0.000 3.818 0.000
1.909 1.909 6.868
I Na H
1 2 2
direct
0.000 0.000 0.000
0.345 0.345 0.310
0.655 0.655 0.690
0.750 0.250 0.500
0.250 0.750 0.500
```

Symmetry: I4/mmm

Model y:
The following is a PBE-GGA calculation of a geometry-optimized Na2H2I structure, from Alexandria via LeMat-Bulk.

Structure (POSCAR):
```
Na2H2I
1.0
8.268 0.000 0.000
0.000 8.268 0.000
0.000 0.000 8.174
I Na H
2 4 4
direct
0.000 0.000 0.000
0.500 0.500 0.000
0.340 0.840 0.000
0.840 0.660 0.000
0.660 0.160 0.000
0.160 0.340 0.000
0.032 0.532 0.500
0.532 0.968 0.500
0.968 0.468 0.500
0.468 0.032 0.500
```

Symmetry: P4/mbm

Top of the stability list: model w, leading by 57 meV/atom.

Model w:
The following is a PBE-GGA calculation of a geometry-optimized NaSbHI2 structure, from Alexandria via LeMat-Bulk.

Structure (POSCAR):
```
NaSbHI2
1.0
5.995 0.000 0.000
0.000 5.995 0.000
0.000 0.000 6.071
I Sb H Na
2 1 1 1
direct
0.000 0.500 0.000
0.500 0.000 0.000
0.000 0.000 0.500
0.500 0.500 0.500
0.000 0.000 0.000
```

Symmetry: P4/mmm

Model x:
The following is a PBE-GGA calculation of a geometry-optimized NaSbHI2 structure, from Alexandria via LeMat-Bulk.

Structure (POSCAR):
```
NaSbHI2
1.0
-5.292 -2.143 -1.297
2.344 -3.169 -4.330
0.599 -3.006 2.524
I Sb H Na
2 1 1 1
direct
0.000 0.500 0.000
0.500 0.000 0.000
0.000 0.000 0.500
0.000 0.000 0.000
0.500 0.500 0.500
```

Symmetry: P4/mmm

Top of the stability list: model x, leading by 769 meV/atom.

Model w:
The following is a PBE-GGA calculation of a geometry-optimized NaTe2HI structure, from Alexandria via LeMat-Bulk.

Structure (POSCAR):
```
NaTe2HI
1.0
-2.422 -3.416 -1.398
2.161 -2.668 2.775
-5.832 1.633 6.114
I Na Te H
1 1 2 1
direct
0.000 0.000 0.500
0.500 0.500 0.500
0.000 0.500 0.000
0.500 0.000 0.000
0.000 0.000 0.000
```

Symmetry: P4/mmm

Model x:
The following is a PBE-GGA calculation of a geometry-optimized NaTe2HI structure, from Alexandria via LeMat-Bulk.

Structure (POSCAR):
```
NaTe2HI
1.0
-1.354 -2.622 -4.939
4.384 -3.653 0.738
-3.655 -3.779 3.008
I Na Te H
1 1 2 1
direct
0.000 0.000 0.500
0.000 0.000 0.000
0.000 0.500 0.000
0.500 0.000 0.000
0.500 0.500 0.500
```

Symmetry: P4/mmm

Top of the stability list: model w, leading by 923 meV/atom.

Model w:
The following is a PBE-GGA calculation of a geometry-optimized NbH2I structure, from Alexandria via LeMat-Bulk.

Structure (POSCAR):
```
NbH2I
1.0
0.000 3.033 3.033
3.033 0.000 3.033
3.033 3.033 0.000
I H Nb
1 2 1
direct
0.500 0.500 0.500
0.250 0.250 0.250
0.750 0.750 0.750
0.000 0.000 0.000
```

Symmetry: Fm-3m

Model x:
The following is a PBE-GGA calculation of a geometry-optimized NbH2I structure, from Alexandria via LeMat-Bulk.

Structure (POSCAR):
```
NbH2I
1.0
6.065 0.000 0.000
0.000 6.065 0.000
3.033 3.033 3.090
I H Nb
2 4 2
direct
0.000 0.000 0.000
0.750 0.250 0.500
0.499 0.125 0.250
0.251 0.625 0.250
0.375 0.501 0.750
0.875 0.749 0.750
0.500 0.500 0.000
0.250 0.750 0.500
```

Symmetry: I-42d

Top of the stability list: model x, leading by 815 meV/atom.

Model w:
The following is a PBE-GGA calculation of a geometry-optimized Nb2HI structure, from Alexandria via LeMat-Bulk.

Structure (POSCAR):
```
Nb2HI
1.0
-0.033 -0.855 -5.094
2.343 -4.542 0.747
-3.692 -5.126 -1.735
I H Nb
2 2 4
direct
0.000 0.000 0.000
0.750 0.250 0.500
0.500 0.500 0.000
0.250 0.750 0.500
0.451 0.125 0.250
0.299 0.625 0.250
0.375 0.549 0.750
0.875 0.701 0.750
```

Symmetry: I-42d

Model x:
The following is a PBE-GGA calculation of a geometry-optimized Nb2HI structure, from Alexandria via LeMat-Bulk.

Structure (POSCAR):
```
Nb2HI
1.0
-3.095 -2.488 2.238
-4.373 0.110 -1.282
-1.880 -3.637 -2.003
I H Nb
1 1 2
direct
0.500 0.500 0.500
0.000 0.000 0.000
0.250 0.250 0.250
0.750 0.750 0.750
```

Symmetry: Fm-3m

Top of the stability list: model w, leading by 596 meV/atom.